1.
The following is a PBE calculation of an optimized crystal structure of Ho12Zn6Ir, from the Alexandria database.

Structure (extended XYZ):
```
19
Lattice="-7.7292 1.0526 -1.6514 1.8151 -1.8473 -7.5411 -1.0291 -7.6262 2.0873" Properties=species:S:1:pos:R:3 pbc="T T T"
Ho -5.6259 -3.6402 -4.6428
Ho -2.6137 -5.3144 -5.6021
Ho -4.3737 -6.3434 -2.6627
Ho -1.3173 -4.7808 -2.4624
Ho -4.3294 -3.1066 -1.5031
Ho -2.5695 -2.0776 -4.4425
Ho -7.6061 -1.6257 -1.7047
Ho -5.7324 -0.5724 -6.5263
Ho -6.1054 -6.1857 0.4911
Ho 0.6630 -6.7953 -5.4004
Ho -1.2108 -7.8486 -0.5789
Ho -0.8377 -2.2353 -7.5963
Zn -3.7906 -2.9356 -7.0374
Zn -5.1877 -0.9053 -3.5072
Zn -0.0800 -3.8218 -5.0418
Zn -3.1526 -5.4854 -0.0677
Zn -1.7554 -7.5157 -3.5979
Zn -6.8631 -4.5991 -2.0634
Ir 0.0000 0.0000 0.0000
```

As for the space-group type: R-3 (148). The calculation puts the size of the total moment at 0.00 μB per cell. The value obtained for the total energy is -3.9304 eV per atom. The formation energy comes out at -0.171 eV per atom.

***

2.
The following is a PBE calculation of an optimized crystal structure of VRuRh, from the Alexandria database.

Structure (extended XYZ):
```
6
Lattice="4.2370 0.0000 0.0000 -2.1185 3.6694 0.0000 0.0000 0.0000 5.3422" Properties=species:S:1:pos:R:3 pbc="T T T"
Ru 0.0000 2.4462 3.0234
Ru 0.0000 0.0000 4.3999
Rh 2.1185 1.2231 0.4545
Rh 0.0000 0.0000 1.7314
V 0.0000 2.4462 0.2850
V 2.1185 1.2231 3.1358
```

As for the space-group type: P3m1 (156). The calculation puts the size of the total moment at 0.00 μB per cell. The value obtained for the total energy is -8.8555 eV per atom. The formation energy comes out at -0.274 eV per atom.